The following is a DFT calculation (GGA+U) of a relaxed structure of Rb3Zn2CoF9.

Properties
As for the crystal system: trigonal. The value obtained for the total energy is -64.08 eV for the cell shown. As for the magnetic moment: 3.00 μB per cell. As for the space group: P-3m1.

a b c (Å): 5.9190 5.9190 7.2373
angles (deg): 90.00 90.00 120.00
With the nearest neighbours (Å) after each atom.
Element x y z (fractional)
1 Rb 0.3333 0.6667 0.6668  12 F 2.95-2.96
2 Rb 0.0000 0.0000 0.0000  12 F 2.96
3 Rb 0.6667 0.3333 0.3332  12 F 2.95-2.96
4 Zn 0.3333 0.6667 0.1672  6 F 2.09
5 Zn 0.6667 0.3333 0.8328  6 F 2.09
6 Co 0.0000 0.0000 0.5000  6 F 2.09
7 F 0.8334 0.1666 0.6659  1 Co 2.09, 1 Zn 2.09
8 F 0.8334 0.6669 0.6659  1 Co 2.09, 1 Zn 2.09
9 F 0.3331 0.1666 0.6659  1 Co 2.09, 1 Zn 2.09
10 F 0.6669 0.8334 0.3341  1 Co 2.09, 1 Zn 2.09
11 F 0.1666 0.3331 0.3341  1 Co 2.09, 1 Zn 2.09
12 F 0.1666 0.8334 0.3341  1 Co 2.09, 1 Zn 2.09
13 F 0.5000 0.0000 0.0000  2 Zn 2.09
14 F 0.0000 0.5000 0.0000  2 Zn 2.09
15 F 0.5000 0.5000 0.0000  2 Zn 2.09

The following is a DFT calculation (GGA+U) of a relaxed structure of Rb2Zn3CoF12.

Properties
As for the crystal system: trigonal. The value obtained for the total energy is -73.82 eV for the cell shown. As for the magnetic moment: 0.57 μB per cell. As for the space group: R-3m.

a b c (Å): 7.3971 7.3971 7.3971
angles (deg): 58.71 58.71 58.71
With the nearest neighbours (Å) after each atom.
Element x y z (fractional)
1 Rb 0.6228 0.6228 0.6228  6 F 3.04-3.22
2 Rb 0.3772 0.3772 0.3772  6 F 3.04-3.22
3 Zn 0.5000 0.0000 0.0000  6 F 1.99-2.11
4 Zn 0.0000 0.5000 0.0000  6 F 1.99-2.11
5 Zn 0.0000 0.0000 0.5000  6 F 1.99-2.11
6 Co 0.0000 0.0000 0.0000  6 F 1.84
7 F 0.3288 0.3288 0.9305  2 Zn 1.99
8 F 0.9337 0.9337 0.2994  1 Co 1.84
9 F 0.2994 0.9337 0.9337  1 Co 1.84
10 F 0.9305 0.3288 0.3288  2 Zn 1.99
11 F 0.9337 0.2994 0.9337  1 Co 1.84
12 F 0.3288 0.9305 0.3288  2 Zn 1.99
13 F 0.6712 0.6712 0.0695  2 Zn 1.99
14 F 0.0663 0.0663 0.7006  1 Co 1.84
15 F 0.7006 0.0663 0.0663  1 Co 1.84
16 F 0.0695 0.6712 0.6712  2 Zn 1.99
17 F 0.0663 0.7006 0.0663  1 Co 1.84
18 F 0.6712 0.0695 0.6712  2 Zn 1.99

The following is a DFT calculation (GGA+U) of a relaxed structure of RbZn2CoF8.

Properties
As for the crystal system: triclinic. The value obtained for the total energy is -49.91 eV for the cell shown. As for the magnetic moment: 1.93 μB per cell. As for the space group: P-1.

a b c (Å): 5.0790 5.2389 7.3983
angles (deg): 74.58 77.30 75.07
With the nearest neighbours (Å) after each atom.
Element x y z (fractional)
1 Rb 0.0000 0.0000 0.5000  6 F 2.73-2.85
2 Zn 0.4495 0.4489 0.7293  5 F 1.95-2.08
3 Zn 0.5505 0.5511 0.2707  5 F 1.95-2.08
4 Co 0.0000 0.0000 0.0000  6 F 1.84-2.05
5 F 0.1825 0.7560 0.1950  1 Co 1.89, 1 Zn 2.02
6 F 0.7487 0.7826 0.0462  1 Co 1.84, 1 Zn 2.02
7 F 0.7473 0.2193 0.1868  1 Zn 1.95, 1 Co 2.05
8 F 0.8175 0.2440 0.8050  1 Co 1.89, 1 Zn 2.02
9 F 0.2513 0.2174 0.9538  1 Co 1.84, 1 Zn 2.02
10 F 0.2527 0.7807 0.8132  1 Zn 1.95, 1 Co 2.05
11 F 0.6516 0.6615 0.4826  2 Zn 2.01-2.08
12 F 0.3484 0.3385 0.5174  2 Zn 2.01-2.08

The following is a DFT calculation (GGA+U) of a relaxed structure of Rb2ZnCoF6.

Properties
As for the crystal system: tetragonal. The value obtained for the total energy is -44.25 eV for the cell shown. As for the magnetic moment: 3.00 μB per cell. As for the space group: I4/mmm.

a b c (Å): 5.8916 5.8916 5.9368
angles (deg): 60.25 60.25 90.00
With the nearest neighbours (Å) after each atom.
Element x y z (fractional)
1 Zn 0.0000 0.0000 0.0000  6 F 2.04-2.12
2 Co 0.5000 0.5000 0.0000  6 F 2.05-2.18
3 Rb 0.7500 0.2500 0.5000  12 F 2.95-2.97
4 Rb 0.2500 0.7500 0.5000  12 F 2.95-2.97
5 F 0.2417 0.2417 0.5165  1 Zn 2.04, 1 Co 2.18
6 F 0.7583 0.7583 0.4835  1 Zn 2.04, 1 Co 2.18
7 F 0.2544 0.2544 0.0000  1 Co 2.05, 1 Zn 2.12
8 F 0.7456 0.7456 0.0000  1 Co 2.05, 1 Zn 2.12
9 F 0.7456 0.2544 0.0000  1 Co 2.05, 1 Zn 2.12
10 F 0.2544 0.7456 0.0000  1 Co 2.05, 1 Zn 2.12

The following is a DFT calculation (GGA+U) of a relaxed structure of Rb2ZrCoF6.

Properties
As for the crystal system: tetragonal. The value obtained for the total energy is -52.86 eV for the cell shown. As for the magnetic moment: 1.01 μB per cell. As for the space group: I4/mmm.

a b c (Å): 6.1878 6.1878 6.2277
angles (deg): 60.21 60.21 90.00
With the nearest neighbours (Å) after each atom.
Element x y z (fractional)
1 Co 0.5000 0.5000 0.0000  6 F 2.25
2 Rb 0.7500 0.2500 0.5000  12 F 3.09-3.11
3 Rb 0.2500 0.7500 0.5000  12 F 3.09-3.11
4 Zr 0.0000 0.0000 0.0000  6 F 2.13-2.19
5 F 0.2466 0.2466 0.5069  1 Zr 2.19, 1 Co 2.25
6 F 0.7534 0.7534 0.4931  1 Zr 2.19, 1 Co 2.25
7 F 0.2433 0.2433 0.0000  1 Zr 2.13, 1 Co 2.25
8 F 0.7567 0.7567 0.0000  1 Zr 2.13, 1 Co 2.25
9 F 0.7567 0.2433 0.0000  1 Zr 2.13, 1 Co 2.25
10 F 0.2433 0.7567 0.0000  1 Zr 2.13, 1 Co 2.25

The following is a DFT calculation (GGA+U) of a relaxed structure of RbZr2CoF.

Properties
As for the crystal system: tetragonal. The value obtained for the total energy is -17.93 eV for the cell shown. As for the magnetic moment: 3.98 μB per cell. As for the space group: P4/mmm.

a b c (Å): 5.3185 5.3185 4.4920
angles (deg): 90.00 90.00 90.00
With the nearest neighbours (Å) after each atom.
Element x y z (fractional)
1 Co 0.5000 0.5000 0.5000  8 Zr 3.48, 4 F 3.76
2 Rb 0.0000 0.0000 0.0000  2 F 2.25
3 Zr 0.0000 0.5000 0.0000  2 Rb 2.66
4 Zr 0.5000 0.0000 0.0000  2 Rb 2.66
5 F 0.0000 0.0000 0.5000  2 Rb 2.25

The following is a DFT calculation (GGA+U) of a relaxed structure of CoReF2.

Properties
As for the crystal system: cubic. As for the magnetic moment: 0.00 μB per cell. As for the space group: Fm-3m. The value obtained for the energy above the most stable polymorph in this dataset is 1677 meV per atom.

a b c (Å): 3.9842 3.9842 3.9842
angles (deg): 60.00 60.00 60.00
With the nearest neighbours (Å) after each atom.
Element x y z (fractional)
1 Re 0.5000 0.5000 0.5000  8 F 2.44
2 Co 0.0000 0.0000 0.0000  8 F 2.44
3 F 0.2500 0.2500 0.2500  4 Re 2.44, 4 Co 2.44
4 F 0.7500 0.7500 0.7500  4 Re 2.44, 4 Co 2.44

The following is a DFT calculation (GGA+U) of a relaxed structure of Co2ReF.

Properties
As for the crystal system: cubic. As for the magnetic moment: 3.06 μB per cell. As for the space group: Fm-3m. The value obtained for the energy above the most stable polymorph in this dataset is 233 meV per atom.

a b c (Å): 4.2001 4.2001 4.2001
angles (deg): 60.00 60.00 60.00
With the nearest neighbours (Å) after each atom.
Element x y z (fractional)
1 Re 0.5000 0.5000 0.5000  8 Co 2.57
2 Co 0.2500 0.2500 0.2500  4 F 2.57, 4 Re 2.57
3 Co 0.7500 0.7500 0.7500  4 F 2.57, 4 Re 2.57
4 F 0.0000 0.0000 0.0000  8 Co 2.57

The following is a DFT calculation (GGA+U) of a relaxed structure of CoReF2.

Properties
As for the crystal system: tetragonal. As for the magnetic moment: 8.00 μB per cell. As for the space group: I-42d. The value obtained for the energy above the most stable polymorph in this dataset is 1051 meV per atom.

a b c (Å): 5.0394 5.0394 5.7479
angles (deg): 64.00 64.00 90.00
With the nearest neighbours (Å) after each atom.
Element x y z (fractional)
1 Re 0.0000 0.0000 0.0000  4 F 2.28
2 Re 0.7500 0.2500 0.5000  4 F 2.28
3 Co 0.5000 0.5000 0.0000  4 F 1.96
4 Co 0.2500 0.7500 0.5000  4 F 1.96
5 F 0.5719 0.1250 0.2500  2 Co 1.96
6 F 0.1781 0.6250 0.2500  2 Co 1.96
7 F 0.3750 0.4281 0.7500  2 Co 1.96
8 F 0.8750 0.8219 0.7500  2 Co 1.96

The following is a DFT calculation (GGA+U) of a relaxed structure of CoReF2.

Properties
As for the crystal system: trigonal. As for the magnetic moment: 2.14 μB per cell. As for the space group: R-3m. The value obtained for the energy above the most stable polymorph in this dataset is 0 meV per atom.

a b c (Å): 7.4610 7.4610 7.4610
angles (deg): 21.02 21.02 21.02
With the nearest neighbours (Å) after each atom.
Element x y z (fractional)
1 Re 0.0000 0.0000 0.0000  2 F 2.08
2 Co 0.5000 0.5000 0.5000  6 F 2.22
3 F 0.9050 0.9050 0.9050  1 Re 2.08, 3 Co 2.22
4 F 0.0950 0.0950 0.0950  1 Re 2.08, 3 Co 2.22

The following is a DFT calculation (GGA+U) of a relaxed structure of CoRe2F.

Properties
As for the crystal system: tetragonal. As for the magnetic moment: 2.96 μB per cell. As for the space group: I-42d. The value obtained for the energy above the most stable polymorph in this dataset is 293 meV per atom.

a b c (Å): 6.4221 6.4221 5.2172
angles (deg): 52.01 52.01 90.00
With the nearest neighbours (Å) after each atom.
Element x y z (fractional)
1 Re 0.5854 0.1250 0.2500  2 F 2.19
2 Re 0.1646 0.6250 0.2500  2 F 2.19
3 Re 0.3750 0.4146 0.7500  2 F 2.19
4 Re 0.8750 0.8354 0.7500  2 F 2.19
5 Co 0.0000 0.0000 0.0000  4 Re 2.54, 2 F 2.57
6 Co 0.7500 0.2500 0.5000  4 Re 2.54, 2 F 2.57
7 F 0.5000 0.5000 0.0000  4 Re 2.19
8 F 0.2500 0.7500 0.5000  4 Re 2.19

The following is a DFT calculation (GGA+U) of a relaxed structure of Co2ReF.

Properties
As for the crystal system: tetragonal. As for the magnetic moment: 7.85 μB per cell. As for the space group: I-42d. The value obtained for the energy above the most stable polymorph in this dataset is 0 meV per atom.

a b c (Å): 6.0010 6.0010 5.1718
angles (deg): 54.54 54.54 90.00
With the nearest neighbours (Å) after each atom.
Element x y z (fractional)
1 Re 0.0000 0.0000 0.0000  4 Co 2.49
2 Re 0.7500 0.2500 0.5000  4 Co 2.49
3 Co 0.5683 0.1250 0.2500  2 F 2.04
4 Co 0.1817 0.6250 0.2500  2 F 2.04
5 Co 0.3750 0.4317 0.7500  2 F 2.04
6 Co 0.8750 0.8183 0.7500  2 F 2.04
7 F 0.5000 0.5000 0.0000  4 Co 2.04
8 F 0.2500 0.7500 0.5000  4 Co 2.04

The following is a DFT calculation (GGA+U) of a relaxed structure of CoRe2F.

Properties
As for the crystal system: cubic. As for the magnetic moment: 0.31 μB per cell. As for the space group: Fm-3m. The value obtained for the energy above the most stable polymorph in this dataset is 0 meV per atom.

a b c (Å): 4.1053 4.1053 4.1053
angles (deg): 60.00 60.00 60.00
With the nearest neighbours (Å) after each atom.
Element x y z (fractional)
1 Re 0.2500 0.2500 0.2500  4 Co 2.51, 4 F 2.51
2 Re 0.7500 0.7500 0.7500  4 F 2.51, 4 Co 2.51
3 Co 0.5000 0.5000 0.5000  8 Re 2.51
4 F 0.0000 0.0000 0.0000  8 Re 2.51